## SrPr2Te4 (PBE)

Data for a geometry-optimized SrPr2Te4 structure. Values from VASP.

Computed properties:
ΔE_f (raw): -1.538 eV/atom

Quantum ESPRESSO input file:
```
&SYSTEM
  ibrav = 0, nat = 14, ntyp = 3
/
ATOMIC_SPECIES
Te 127.60 Te.upf
Sr 87.62 Sr.upf
Pr 140.91 Pr.upf
ATOMIC_POSITIONS angstrom
Te 1.278 -6.826 0.846
Sr 0.000 0.000 0.000
Pr -2.078 -6.321 0.373
Te 3.797 -4.015 0.238
Te -0.885 -3.375 -0.223
Pr 4.171 -1.200 -1.309
Te 2.632 -0.950 1.774
Sr 1.500 -4.821 -2.010
Te -0.928 -5.947 3.579
Te 0.675 -2.608 5.581
Pr 5.468 -2.548 2.846
Pr 1.094 -3.731 2.371
Te 4.069 -3.416 -3.921
Te 6.670 -0.463 0.686
CELL_PARAMETERS angstrom
-3.201 -6.681 -4.004
8.077 0.976 -2.173
-0.549 -1.195 8.318
```